[1]
Zr2Ag2Pt | GGA-PBE | optimized geometry

Cell lengths 7.265, 7.265, 3.710 Å; angles 90.00, 90.00, 90.00 degrees
Sites, in units of the cell vectors:
Zr (0.176, 0.676, 0.500)
Zr (0.676, 0.824, 0.500)
Zr (0.824, 0.324, 0.500)
Zr (0.324, 0.176, 0.500)
Ag (0.371, 0.871, 0.000)
Ag (0.871, 0.629, 0.000)
Ag (0.629, 0.129, 0.000)
Ag (0.129, 0.371, 0.000)
Pt (0.000, 0.000, 0.000)
Pt (0.500, 0.500, 0.000)

Summary:
- Formation energy: -0.09 eV/atom
- Crystal system: tetragonal
- Magnetic moment: 0.0 μB per formula unit
- Calculated volume: 195.84 Å³ per cell

[2]
Na2YCdPb2 | GGA-PBE | optimized geometry

Cell lengths 4.875, 7.491, 9.381 Å; angles 90.00, 90.00, 90.00 degrees
Sites, in units of the cell vectors:
Na (0.500, 0.041, 0.056)
Na (0.000, 0.335, 0.168)
Na (0.500, 0.541, 0.944)
Na (0.000, 0.835, 0.832)
Y (0.000, 0.988, 0.469)
Y (0.000, 0.488, 0.531)
Cd (0.500, 0.151, 0.689)
Cd (0.500, 0.651, 0.311)
Pb (0.000, 0.279, 0.832)
Pb (0.500, 0.252, 0.378)
Pb (0.000, 0.779, 0.168)
Pb (0.500, 0.752, 0.622)

Summary:
- Formation energy: -0.26 eV/atom
- Crystal system: orthorhombic
- Magnetic moment: 0.0 μB per formula unit
- Calculated volume: 342.57 Å³ per cell